The following is a DFT calculation (PBE) of a relaxed structure of NaPr2F6.

```
NaPr2F6
1.0
3.9024 0.0000 -0.8228
-0.1735 3.8986 -0.8228
-0.0856 -0.0895 9.2601
F Pr Na
6 2 1
Direct
0.5838 0.0838 0.1675 F
0.7500 0.2500 0.5000 F
0.0838 0.5838 0.1675 F
0.4162 0.9162 0.8325 F
0.9162 0.4162 0.8325 F
0.2500 0.7500 0.5000 F
0.3411 0.3411 0.6823 Pr
0.6589 0.6589 0.3177 Pr
0.0000 0.0000 0.0000 Na
```

Properties
Energy above the lowest structure with this stoichiometry: 0.0000 eV per atom
Uncorrected energy: -5.98 eV per atom
Formation energy without anion corrections: -340 kJ per mole of atoms
Total magnetization: 0.88 Bohr magnetons per cell